Record 1
Material: TaAu3C
Method: DFT, PBE-GGA
State: optimized geometry

a = 5.148 Å, b = 5.148 Å, c = 5.148 Å
α = 90.00°, β = 90.00°, γ = 90.00°
Each line ends with the local moment (μB).
Fractional positions:
C: 0.500 0.500 0.500  0.86
Au: 0.000 0.500 0.000  0.03
Au: 0.000 0.000 0.500  0.03
Au: 0.500 0.000 0.000  0.01
Ta: 0.000 0.000 0.000  0.00

Calculated values
- Formation energy from the elements: 2325.7 meV/atom
- Total magnetization: 1.84 μB/f.u.
- Energy above the most stable polymorph in this dataset: 1226.9 meV/atom
- V: 27.29 Å³/atom
- E: -19.28 eV for the cell shown
- Space group: Pm-3m



Record 2
Material: RbSn2SO
Method: DFT, PBE-GGA
State: optimized geometry

a = 5.319 Å, b = 6.241 Å, c = 5.319 Å
α = 90.00°, β = 90.00°, γ = 90.00°
Fractional positions:
O: 0.500 0.500 0.500
S: 0.000 0.000 0.000
Sn: 0.000 0.000 0.500
Sn: 0.500 0.000 0.000
Rb: 0.000 0.500 0.000

Calculated values
- Total magnetization: 0.00 μB/f.u.
- Raw formation energy: 285.3 meV/atom
- V: 35.31 Å³/atom
- E: -16.63 eV for the cell shown
- Space group: P4/mmm



Record 3
Material: Ba2LiSi
Method: DFT, PBE-GGA
State: optimized geometry

a = 4.070 Å, b = 4.072 Å, c = 8.959 Å
α = 90.00°, β = 90.00°, γ = 90.00°
Fractional positions:
Ba: 0.000 0.000 0.956
Ba: 0.000 0.000 0.544
Li: 0.500 0.500 0.250
Si: 0.500 0.500 0.750

Calculated values
- Total magnetization: 0.00 μB/f.u.
- Raw formation energy: -99.9 meV/atom
- V: 37.12 Å³/atom
- E: -11.58 eV for the cell shown
- Space group: P4/mmm



Record 4
Material: Zr2NiSe
Method: DFT, PBE-GGA
State: optimized geometry

a = 5.558 Å, b = 5.558 Å, c = 5.558 Å
α = 144.86°, β = 132.98°, γ = 60.04°
Fractional positions:
Ni: 0.522 0.522 0.000
Se: 0.719 0.219 0.500
Zr: 0.995 0.995 0.000
Zr: 0.264 0.764 0.500

Calculated values
- Total magnetization: 0.00 μB/f.u.
- Raw formation energy: -484.4 meV/atom
- V: 17.90 Å³/atom
- E: -28.30 eV for the cell shown
- Space group: Imm2



Repeat the fourth record exactly.
Material: Zr2NiSe
Method: DFT, PBE-GGA
State: optimized geometry

a = 5.558 Å, b = 5.558 Å, c = 5.558 Å
α = 144.86°, β = 132.98°, γ = 60.04°
Fractional positions:
Ni: 0.522 0.522 0.000
Se: 0.719 0.219 0.500
Zr: 0.995 0.995 0.000
Zr: 0.264 0.764 0.500

Calculated values
- Total magnetization: 0.00 μB/f.u.
- Raw formation energy: -484.4 meV/atom
- V: 17.90 Å³/atom
- E: -28.30 eV for the cell shown
- Space group: Imm2



Among the records above, which one has the highest E?
Ba2LiSi



What is the E in the fourth record?
-28.30 eV for the cell shown



Copy entry 2 word for word.
Material: RbSn2SO
Method: DFT, PBE-GGA
State: optimized geometry

a = 5.319 Å, b = 6.241 Å, c = 5.319 Å
α = 90.00°, β = 90.00°, γ = 90.00°
Fractional positions:
O: 0.500 0.500 0.500
S: 0.000 0.000 0.000
Sn: 0.000 0.000 0.500
Sn: 0.500 0.000 0.000
Rb: 0.000 0.500 0.000

Calculated values
- Total magnetization: 0.00 μB/f.u.
- Raw formation energy: 285.3 meV/atom
- V: 35.31 Å³/atom
- E: -16.63 eV for the cell shown
- Space group: P4/mmm